The following is a DFT calculation (PBE-GGA) of an optimized crystal structure of TaRuBr2.

Geometry as POSCAR:
```
TaRuBr2
1.0
-3.829 2.354 1.423
-2.181 -1.240 3.992
0.228 2.808 3.781
Ru Br Ta
1 2 1
Cartesian
-2.891 1.961 4.598
0.000 0.000 0.000
-4.337 2.942 6.897
-1.446 0.981 2.299
```

* polymorph energy (0 for the lowest one): 4.343 eV/f.u.
* DOS at the Fermi energy: 0.4756 states/eV per atom



The following is a DFT calculation (PBE-GGA) of an optimized crystal structure of TaRu2Br.

Geometry as POSCAR:
```
TaRu2Br
1.0
3.164 0.000 0.000
0.000 3.164 0.000
0.000 0.000 6.922
Ru Br Ta
2 1 1
Cartesian
0.000 0.000 0.259
0.000 0.000 3.202
1.582 1.582 5.192
1.582 1.582 1.731
```

* polymorph energy (0 for the lowest one): 0.453 eV/f.u.
* DOS at the Fermi energy: 1.0913 states/eV per atom



The following is a DFT calculation (PBE-GGA) of an optimized crystal structure of TaRu2Br.

Geometry as POSCAR:
```
TaRu2Br
1.0
2.966 0.000 0.000
0.000 2.966 0.000
0.000 0.000 7.491
Ru Br Ta
2 1 1
Cartesian
0.000 0.000 0.186
1.483 1.483 1.845
1.483 1.483 5.515
0.000 0.000 3.690
```

* polymorph energy (0 for the lowest one): 1.493 eV/f.u.
* DOS at the Fermi energy: 1.3099 states/eV per atom